# AcMgRh4

A relaxed structure of AcMgRh4 (PBE-GGA, Alexandria).

Cell: 7.642 7.642 7.642 Å, 90.00 90.00 90.00°
Space group F-43m (No. 216)
Asymmetric unit:
Ac 0.000 0.000 0.000 x4
Mg 0.250 0.250 0.750 x4
Rh 0.124 0.124 0.376 x16

Computed properties:
Formation enthalpy at 0 K in eV per atom: -0.39

=====

# MgMn2Pb

A relaxed structure of MgMn2Pb (PBE-GGA, Alexandria).

Cell: 4.254 4.254 4.115 Å, 90.00 90.00 90.00°
Space group P4/mmm (No. 123)
Asymmetric unit:
Mg 0.000 0.000 0.000 x1
Mn 0.000 0.500 0.500 x2
Pb 0.500 0.500 0.000 x1

Computed properties:
Formation enthalpy at 0 K in eV per atom: 0.32

=====

# Pm3ErF

A relaxed structure of Pm3ErF (PBE-GGA, Alexandria).

Cell: 5.132 5.132 5.132 Å, 90.00 90.00 90.00°
Space group Pm-3m (No. 221)
Asymmetric unit:
Pm 0.000 0.000 0.500 x3
Er 0.500 0.500 0.500 x1
F 0.000 0.000 0.000 x1

Computed properties:
Raw formation energy in meV/atom: -972

=====

# FeIrBr2

A relaxed structure of FeIrBr2 (PBE-GGA, Alexandria).

Cell: 3.447 3.447 7.610 Å, 90.00 90.00 90.00°
Space group P4mm (No. 99)
Asymmetric unit:
Fe 0.000 0.000 0.000 x1
Ir 0.500 0.500 0.121 x1
Br 0.000 0.000 0.346 x1
Br 0.500 0.500 0.788 x1

Computed properties:
Raw formation energy in meV/atom: 400
ΔE to the lowest computed polymorph in eV/atom: 0.283

=====

Number 1: total magnetization 0.000 μB/atom. Number 2: total magnetization 1.804 μB/atom. Number 3: total magnetization 0.000 μB/atom. Number 4: total magnetization 1.225 μB/atom.